Zn6Co4F19: optimized geometry, PBE+U.

Summary:
E_tot in eV/f.u.: -122.8
V in Å³/f.u.: 360.9
M_tot in μB/cell: 22.12

a b c (Å): 8.971 8.971 8.971
angles (deg): 90.00 90.00 90.00
Space group I23 (No. 197)
Unique sites:
Zn1 0.000 0.172 0.500 [12 per cell]
Co1 0.146 0.146 0.146 [8 per cell]
F1 0.000 0.000 0.000 [2 per cell]
F2 0.000 0.000 0.342 [12 per cell]
F3 0.053 0.282 0.305 [24 per cell]